(1)
Density functional theory data (PBE) for crystalline Mo7W3 at its relaxed geometry.

a = 8.563 Å, b = 8.563 Å, c = 5.286 Å
α = 90.00°, β = 90.00°, γ = 120.00°
Element x y z (fractional)
Mo 0.000 0.500 0.000
Mo 0.000 0.500 0.500
Mo 0.121 0.241 0.250
Mo 0.121 0.879 0.250
Mo 0.241 0.121 0.750
Mo 0.333 0.667 0.250
Mo 0.500 0.000 0.000
Mo 0.500 0.000 0.500
Mo 0.500 0.500 0.000
Mo 0.500 0.500 0.500
Mo 0.667 0.333 0.750
Mo 0.759 0.879 0.250
Mo 0.879 0.121 0.750
Mo 0.879 0.759 0.750
W 0.207 0.414 0.750
W 0.207 0.793 0.750
W 0.414 0.207 0.250
W 0.586 0.793 0.750
W 0.793 0.207 0.250
W 0.793 0.586 0.250

Calculated values
**N(E_F)**: 18.972 states/eV/cell
**E**: -11.029 eV per atom
**Size of the total moment**: 0.0 μB/f.u.

(2)
Density functional theory data (PBE) for crystalline ThSe2I4 at its relaxed geometry.

a = 6.014 Å, b = 6.014 Å, c = 10.578 Å
α = 113.03°, β = 113.03°, γ = 59.38°
Element x y z (fractional)
Th 0.000 0.000 0.000
Se 0.001 0.001 0.268
Se 0.999 0.999 0.732
I 0.273 0.273 0.328
I 0.316 0.316 0.947
I 0.684 0.684 0.053
I 0.727 0.727 0.672

Calculated values
**Formation energy without anion corrections**: -4.5 eV per formula unit
**Size of the total moment**: 0.0 μB/f.u.

(3)
Density functional theory data (PBE) for crystalline CaNd3Cu at its relaxed geometry.

a = 5.637 Å, b = 5.637 Å, c = 5.637 Å
α = 90.00°, β = 90.00°, γ = 90.00°
Element x y z (fractional)
Ca 0.000 0.000 0.000
Nd 0.000 0.500 0.500
Nd 0.500 0.000 0.500
Nd 0.500 0.500 0.000
Cu 0.500 0.500 0.500

Calculated values
**N(E_F)**: 10.446 states/eV/cell
**E**: -3.937 eV per atom
**Size of the total moment**: 1.6 μB/f.u.

(4)
Density functional theory data (PBE) for crystalline CuRe2Mo at its relaxed geometry.

a = 2.637 Å, b = 4.413 Å, c = 5.116 Å
α = 90.00°, β = 98.55°, γ = 90.00°
Element x y z (fractional)
Cu 0.000 0.000 0.000
Re 0.264 0.500 0.759
Re 0.736 0.500 0.241
Mo 0.500 0.000 0.500

Calculated values
**N(E_F)**: 2.733 states/eV/cell
**Offset from the most stable computed form**: 0.055 eV/atom
**Size of the total moment**: 0.0 μB/f.u.

(5)
Density functional theory data (PBE) for crystalline CrAu2 at its relaxed geometry.

a = 12.338 Å, b = 12.338 Å, c = 12.338 Å
α = 166.08°, β = 166.08°, γ = 19.74°
Element x y z (fractional)
Cr 0.375 0.625 0.750
Cr 0.625 0.375 0.250
Au 0.051 0.801 0.250
Au 0.199 0.949 0.250
Au 0.801 0.051 0.750
Au 0.949 0.199 0.750

Calculated values
**N(E_F)**: 6.264 states/eV/cell
**E**: -5.209 eV per atom
**Size of the total moment**: 3.9 μB/f.u.

(6)
Density functional theory data (PBE) for crystalline Li2PuGa at its relaxed geometry.

a = 4.737 Å, b = 4.737 Å, c = 4.737 Å
α = 60.00°, β = 60.00°, γ = 60.00°
Element x y z (fractional)
Li 0.250 0.250 0.250
Li 0.750 0.750 0.750
Pu 0.000 0.000 0.000
Ga 0.500 0.500 0.500

Calculated values
**N(E_F)**: 15.711 states/eV/cell
**Offset from the most stable computed form**: 0.000 eV/atom
**Size of the total moment**: 5.6 μB/f.u.

(7)
Density functional theory data (PBE) for crystalline DyErBi at its relaxed geometry.

a = 6.094 Å, b = 6.094 Å, c = 6.094 Å
α = 141.43°, β = 141.43°, γ = 55.69°
Element x y z (fractional)
Dy 0.000 0.000 0.000
Er 0.315 0.315 0.000
Bi 0.659 0.659 0.000

Calculated values
**N(E_F)**: 2.219 states/eV/cell
**E**: -4.797 eV per atom
**Size of the total moment**: 1.0 μB/f.u.

(8)
Density functional theory data (PBE) for crystalline Ag2TeO4 at its relaxed geometry.

a = 5.738 Å, b = 10.993 Å, c = 3.129 Å
α = 90.00°, β = 90.00°, γ = 90.00°
Element x y z (fractional)
Ag 0.043 0.187 0.000
Ag 0.457 0.687 0.000
Ag 0.543 0.313 0.000
Ag 0.957 0.813 0.000
Te 0.000 0.500 0.500
Te 0.500 0.000 0.500
O 0.127 0.661 0.500
O 0.216 0.455 0.000
O 0.284 0.955 0.000
O 0.373 0.161 0.500
O 0.627 0.839 0.500
O 0.716 0.045 0.000
O 0.784 0.545 0.000
O 0.873 0.339 0.500

Calculated values
**N(E_F)**: 3.889 states/eV/cell
**Formation energy without anion corrections**: -3.7 eV per formula unit
**Offset from the most stable computed form**: 0.038 eV/atom
**Size of the total moment**: 0.0 μB/f.u.

(9)
Density functional theory data (PBE) for crystalline Sc4TePSe2 at its relaxed geometry.

a = 6.752 Å, b = 3.891 Å, c = 6.904 Å
α = 90.00°, β = 109.16°, γ = 90.00°
Element x y z (fractional)
Sc 0.234 0.000 0.218
Sc 0.254 0.500 0.786
Sc 0.746 0.500 0.214
Sc 0.766 0.000 0.782
Te 0.000 0.000 0.500
P 0.000 0.500 0.000
Se 0.500 0.000 0.000
Se 0.500 0.500 0.500

Calculated values
**N(E_F)**: 3.671 states/eV/cell
**Formation energy without anion corrections**: -11.8 eV per formula unit
**Size of the total moment**: 0.0 μB/f.u.

> Which formula does entry 7 have?

DyErBi